ReMoIr6: relaxed, GGA-PBE.

Magnetic moment (μB/f.u.): 0.006
Space group: P-6m2 (187)
ΔE_f (meV/atom): -236.9
Crystal system: hexagonal

Structure (POSCAR):
```
ReMoIr6
1.0
-1.532 5.172 1.242
-2.847 -4.293 2.027
2.625 -0.071 3.535
Re Ir Mo
1 6 1
direct
0.333 0.667 0.500
0.499 0.501 0.000
0.833 0.665 0.500
0.002 0.501 0.000
0.499 0.998 0.000
0.335 0.167 0.500
0.833 0.167 0.500
0.000 0.000 0.000
```

NbCuSb2: relaxed, GGA-PBE.

Magnetic moment (μB/f.u.): 0.002
Space group: F-43m (216)
VASP energy (eV per atom): -4.980
Crystal system: cubic

Structure (POSCAR):
```
NbCuSb2
1.0
1.783 2.161 3.987
-2.922 2.682 2.831
-1.265 -1.617 4.420
Sb Nb Cu
2 1 1
direct
0.750 0.750 0.750
0.000 0.000 0.000
0.500 0.500 0.500
0.250 0.250 0.250
```

TlTcTe2AuS: relaxed, GGA-PBE.

Magnetic moment (μB/f.u.): 2.568
Space group: Cmcm (63)
VASP energy (eV per atom): -4.331
Crystal system: orthorhombic

Structure (POSCAR):
```
TlTcTe2AuS
1.0
1.944 -8.135 0.000
1.944 8.135 0.000
0.000 0.000 10.027
Tc Te S Tl Au
2 4 2 2 2
direct
0.000 0.000 0.500
0.000 0.000 0.000
0.624 0.376 0.492
0.376 0.624 0.992
0.376 0.624 0.508
0.624 0.376 0.008
0.952 0.048 0.250
0.048 0.952 0.750
0.775 0.225 0.750
0.225 0.775 0.250
0.550 0.450 0.250
0.450 0.550 0.750
```

TbYNO: relaxed, GGA-PBE.

Magnetic moment (μB/f.u.): 0.004
Space group: Pbcm (57)
VASP energy (eV per atom): -8.283
Crystal system: orthorhombic

Structure (POSCAR):
```
TbYNO
1.0
4.936 0.000 0.000
0.000 6.643 0.000
0.000 0.000 8.079
N O Y Tb
4 4 4 4
direct
0.550 0.071 0.125
0.050 0.929 0.875
0.550 0.571 0.875
0.050 0.429 0.125
0.051 0.407 0.632
0.551 0.593 0.368
0.551 0.093 0.632
0.051 0.907 0.368
0.550 0.917 0.874
0.550 0.417 0.126
0.050 0.583 0.874
0.050 0.083 0.126
0.051 0.070 0.622
0.051 0.570 0.378
0.551 0.930 0.378
0.551 0.430 0.622
```

TmAu: relaxed, GGA-PBE.

Magnetic moment (μB/f.u.): 0.006
Space group: Pm-3m (221)
ΔE_f (meV/atom): -893.8
Crystal system: cubic

Structure (POSCAR):
```
TmAu
1.0
-1.042 -1.252 3.138
-3.006 -1.157 -1.459
1.544 -3.098 -0.723
Tm Au
1 1
direct
0.500 0.500 0.500
0.000 0.000 0.000
```

CuSiAgPt: relaxed, GGA-PBE.

Magnetic moment (μB/f.u.): 0.003
Space group: F-43m (216)
VASP energy (eV per atom): -4.525
Crystal system: cubic

Structure (POSCAR):
```
CuSiAgPt
1.0
3.739 -0.277 2.240
0.681 -3.360 2.705
2.936 -3.066 -1.024
Pt Ag Si Cu
1 1 1 1
direct
0.250 0.250 0.250
0.500 0.500 0.500
0.000 0.000 0.000
0.750 0.750 0.750
```

NaScFeW: relaxed, GGA-PBE.

Magnetic moment (μB/f.u.): 0.007
Space group: F-43m (216)
VASP energy (eV per atom): -6.497
Crystal system: cubic

Structure (POSCAR):
```
NaScFeW
1.0
0.311 -4.442 -0.468
-2.317 -2.080 -3.218
2.137 -1.735 -3.532
Sc W Fe Na
1 1 1 1
direct
0.000 0.000 0.000
0.500 0.500 0.500
0.250 0.250 0.250
0.750 0.750 0.750
```

Tm2Ga3Pt4: relaxed, GGA-PBE.

Magnetic moment (μB/f.u.): 0.001
Space group: Cmce (64)
VASP energy (eV per atom): -5.722
Crystal system: orthorhombic

Structure (POSCAR):
```
Tm2Ga3Pt4
1.0
-6.139 -0.129 5.279
5.209 -5.088 -3.542
4.883 1.028 5.704
Ga Tm Pt
6 4 8
direct
0.519 0.981 0.750
0.981 0.519 0.250
0.500 0.500 0.500
0.019 0.481 0.750
0.000 0.000 0.000
0.481 0.019 0.250
0.894 0.106 0.408
0.606 0.394 0.908
0.394 0.606 0.092
0.106 0.894 0.592
0.320 0.680 0.474
0.809 0.691 0.250
0.691 0.809 0.750
0.180 0.820 0.974
0.820 0.180 0.026
0.309 0.191 0.250
0.680 0.320 0.526
0.191 0.309 0.750
```

Gd2ErMg3Pd2Pt: relaxed, GGA-PBE.

Magnetic moment (μB/f.u.): 0.013
Space group: Amm2 (38)
VASP energy (eV per atom): -4.656
Crystal system: orthorhombic

Structure (POSCAR):
```
Gd2ErMg3Pd2Pt
1.0
-3.831 0.419 1.409
-2.575 -3.622 -5.922
1.843 -3.735 6.122
Mg Gd Pd Er Pt
3 2 2 1 1
direct
0.500 0.001 0.244
0.500 0.244 0.001
0.500 0.756 0.756
0.000 0.000 0.591
0.000 0.591 0.000
0.500 0.335 0.664
0.500 0.664 0.335
0.000 0.406 0.406
0.000 0.003 0.003
```

Dy4TlSN2: relaxed, GGA-PBE.

Magnetic moment (μB/f.u.): 0.001
Space group: P-6m2 (187)
VASP energy (eV per atom): -6.615
Crystal system: hexagonal

Structure (POSCAR):
```
Dy4TlSN2
1.0
3.571 0.000 0.000
-1.786 3.093 0.000
0.000 0.000 14.177
Dy N S Tl
4 2 1 1
direct
0.000 0.000 0.682
0.667 0.333 0.868
0.000 0.000 0.318
0.667 0.333 0.132
0.333 0.667 0.224
0.333 0.667 0.776
0.000 0.000 0.000
0.667 0.333 0.500
```

Re3AgTe5: relaxed, GGA-PBE.

Magnetic moment (μB/f.u.): 2.417
Space group: P6/mmm (191)
VASP energy (eV per atom): -5.681
Crystal system: hexagonal

Structure (POSCAR):
```
Re3AgTe5
1.0
5.888 0.000 0.000
-2.944 5.099 0.000
0.000 0.000 7.913
Te Re Ag
5 3 1
direct
0.333 0.667 0.234
0.667 0.333 0.234
0.667 0.333 0.766
0.333 0.667 0.766
0.000 0.000 0.500
0.500 0.000 0.500
0.500 0.500 0.500
0.000 0.500 0.500
0.000 0.000 0.000
```

Pr2CoGe4Au: relaxed, GGA-PBE.

Magnetic moment (μB/f.u.): 0.001
Space group: Amm2 (38)
VASP energy (eV per atom): -5.435
Crystal system: orthorhombic

Structure (POSCAR):
```
Pr2CoGe4Au
1.0
-1.887 -3.890 0.620
6.911 -2.546 5.056
4.149 -0.757 7.875
Ge Pr Au Co
4 2 1 1
direct
0.500 0.047 0.047
0.000 0.971 0.971
0.000 0.239 0.239
0.500 0.740 0.740
0.000 0.604 0.604
0.500 0.391 0.391
0.000 0.827 0.827
0.500 0.182 0.182
```

What is the magnetic moment in the sixth record? 0.003 μB/f.u.

What did the eighth record say?
Tm2Ga3Pt4: relaxed, GGA-PBE.

Magnetic moment (μB/f.u.): 0.001
Space group: Cmce (64)
VASP energy (eV per atom): -5.722
Crystal system: orthorhombic

Structure (POSCAR):
```
Tm2Ga3Pt4
1.0
-6.139 -0.129 5.279
5.209 -5.088 -3.542
4.883 1.028 5.704
Ga Tm Pt
6 4 8
direct
0.519 0.981 0.750
0.981 0.519 0.250
0.500 0.500 0.500
0.019 0.481 0.750
0.000 0.000 0.000
0.481 0.019 0.250
0.894 0.106 0.408
0.606 0.394 0.908
0.394 0.606 0.092
0.106 0.894 0.592
0.320 0.680 0.474
0.809 0.691 0.250
0.691 0.809 0.750
0.180 0.820 0.974
0.820 0.180 0.026
0.309 0.191 0.250
0.680 0.320 0.526
0.191 0.309 0.750
```